Below is NdEr12Sc2 after structural relaxation, with properties calculated at the GGA-PBE level.

Cell lengths 6.5999, 6.5999, 24.7686 Å; angles 78.82, 78.82, 114.76 degrees
Closest atoms and distances in Å follow each position.
Atoms (fractional coordinates):
Er: 0.9023 0.9022 0.6786  8 Er 3.31-3.60, 4 Sc 3.40
Er: 0.0978 0.0977 0.3214  8 Er 3.31-3.60, 4 Sc 3.40
Er: 0.8035 0.8034 0.5577  10 Er 3.20-3.56
Er: 0.0572 0.5572 0.1539  8 Er 3.40-3.56, 2 Sc 3.53
Er: 0.4137 0.4133 0.0691  7 Er 3.20-3.56
Er: 0.3034 0.3035 0.5577  10 Er 3.20-3.56
Er: 0.5977 0.5978 0.3214  8 Er 3.31-3.60, 4 Sc 3.40
Er: 0.5867 0.5863 0.9309  7 Er 3.20-3.56
Er: 0.0863 0.0867 0.9309  7 Er 3.20-3.56
Er: 0.9958 0.9957 0.8040  10 Er 3.40-3.56, 2 Sc 3.47
Er: 0.7765 0.2765 0.5797  8 Er 3.34-3.60, 2 Sc 3.58
Er: 0.4957 0.4958 0.8040  10 Er 3.40-3.56, 2 Sc 3.47
Er: 0.5570 0.0570 0.1540  8 Er 3.40-3.56, 2 Sc 3.53
Er: 0.9430 0.4430 0.8460  8 Er 3.40-3.56, 2 Sc 3.53
Er: 0.1966 0.1965 0.4423  10 Er 3.20-3.56
Er: 0.6965 0.6966 0.4423  10 Er 3.20-3.56
Er: 0.7235 0.2235 0.4203  8 Er 3.34-3.60, 2 Sc 3.58
Er: 0.9133 0.9137 0.0691  7 Er 3.20-3.56
Er: 0.4428 0.9428 0.8461  8 Er 3.40-3.56, 2 Sc 3.53
Er: 0.5042 0.5043 0.1960  10 Er 3.40-3.56, 2 Sc 3.47
Er: 0.2768 0.7768 0.5796  8 Er 3.34-3.60, 2 Sc 3.58
Er: 0.4022 0.4023 0.6786  8 Er 3.31-3.60, 4 Sc 3.40
Er: 0.2232 0.7232 0.4204  8 Er 3.34-3.60, 2 Sc 3.58
Er: 0.0043 0.0042 0.1960  10 Er 3.40-3.56, 2 Sc 3.47
Sc: 0.1417 0.6417 0.2859  10 Er 3.40-3.58, 2 Sc 3.56
Sc: 0.8581 0.3581 0.7140  10 Er 3.40-3.58, 2 Sc 3.56
Sc: 0.6419 0.1419 0.2860  10 Er 3.40-3.58, 2 Sc 3.56
Sc: 0.3583 0.8583 0.7141  10 Er 3.40-3.58, 2 Sc 3.56
Nd: 0.0003 0.5003 0.9999  2 Nd 3.56, 11 Er 3.66-3.98
Nd: 0.4997 0.9997 0.0001  2 Nd 3.56, 11 Er 3.66-3.98

## Properties
Formation enthalpy at 0 K   0.088 eV/atom
V   914.2 Å³ per cell
Theoretical density   8.14 Mg/m³
Calculated total energy   -141.7 eV for the cell shown
SG   No. 10